[1]
Entry from the Open Quantum Materials Database: a relaxed structure of PrNd3P2Cl2 (PBE-GGA).

Values from the calculation:
Size of the total moment ... 0.0 μB/f.u.
Total DFT energy (no corrections) ... -5.81 eV/atom

abc: 4.0826 4.0826 14.3694
angles: 90.00 90.00 120.00
Atoms (fractional coordinates):
1 Cl 0.6667 0.3333 0.2523
2 Cl 0.0000 0.0000 0.7494
3 Nd 0.0000 0.0000 0.3946
4 Nd 0.6667 0.3333 0.6059
5 Nd 0.6667 0.3333 0.8930
6 P 0.3333 0.6667 0.5003
7 P 0.3333 0.6667 0.9979
8 Pr 0.0000 0.0000 0.1066

---

[2]
Entry from the Open Quantum Materials Database: a relaxed structure of AlMo4AuC2 (PBE-GGA).

Values from the calculation:
Size of the total moment ... 0.0 μB/f.u.
Total DFT energy (no corrections) ... -8.64 eV/atom

abc: 3.0538 3.0538 13.7060
angles: 90.00 90.00 120.00
Atoms (fractional coordinates):
1 Al 0.0000 0.0000 0.0000
2 Au 0.6667 0.3333 0.5000
3 C 0.3333 0.6667 0.2442
4 C 0.3333 0.6667 0.7558
5 Mo 0.6667 0.3333 0.1576
6 Mo 0.0000 0.0000 0.3275
7 Mo 0.0000 0.0000 0.6725
8 Mo 0.6667 0.3333 0.8424

---

[3]
Entry from the Open Quantum Materials Database: a relaxed structure of MgNb2 (PBE-GGA).

Values from the calculation:
Energy above the lowest structure with this stoichiometry ... 0.0000 eV/atom
Size of the total moment ... 0.0 μB/f.u.
Total DFT energy (no corrections) ... -6.93 eV/atom

abc: 5.5382 5.5382 5.5382
angles: 60.00 60.00 60.00
Atoms (fractional coordinates):
1 Mg 0.0000 0.0000 0.0000
2 Mg 0.2500 0.2500 0.2500
3 Nb 0.6250 0.6250 0.1250
4 Nb 0.6250 0.1250 0.6250
5 Nb 0.1250 0.6250 0.6250
6 Nb 0.6250 0.6250 0.6250

---

[4]
Entry from the Open Quantum Materials Database: a relaxed structure of LaNdB2Pt8 (PBE-GGA).

Values from the calculation:
Energy above the lowest structure with this stoichiometry ... 0.0000 eV/atom
Size of the total moment ... 0.0 μB/f.u.
Total DFT energy (no corrections) ... -6.77 eV/atom

abc: 5.5092 5.5092 7.7084
angles: 90.00 90.00 120.00
Atoms (fractional coordinates):
1 B 0.6667 0.3333 0.5000
2 B 0.3333 0.6667 0.5000
3 La 0.0000 0.0000 0.0000
4 Nd 0.0000 0.0000 0.5000
5 Pt 0.6667 0.3333 0.0000
6 Pt 0.3333 0.6667 0.0000
7 Pt 0.5000 0.0000 0.3012
8 Pt 0.0000 0.5000 0.3012
9 Pt 0.5000 0.5000 0.3012
10 Pt 0.5000 0.0000 0.6988
11 Pt 0.0000 0.5000 0.6988
12 Pt 0.5000 0.5000 0.6988

---

[5]
Entry from the Open Quantum Materials Database: a relaxed structure of ZnRe2Pd (PBE-GGA).

Values from the calculation:
Energy relative to the elements ... 0.2579 eV/atom
Size of the total moment ... 0.0 μB/f.u.
Total DFT energy (no corrections) ... -7.56 eV/atom

abc: 4.3720 4.3720 4.3720
angles: 60.00 60.00 60.00
Atoms (fractional coordinates):
1 Pd 0.5000 0.5000 0.5000
2 Re 0.0000 0.0000 0.0000
3 Re 0.7500 0.7500 0.7500
4 Zn 0.2500 0.2500 0.2500

---

[6]
Entry from the Open Quantum Materials Database: a relaxed structure of ZnCdFePb (PBE-GGA).

Values from the calculation:
Energy above the lowest structure with this stoichiometry ... 0.0000 eV/atom
Size of the total moment ... 2.6 μB/f.u.
Total DFT energy (no corrections) ... -3.07 eV/atom

abc: 4.8290 4.8290 4.8290
angles: 60.00 60.00 60.00
Atoms (fractional coordinates):
1 Cd 0.5000 0.5000 0.5000
2 Fe 0.7500 0.7500 0.7500
3 Pb 0.0000 0.0000 0.0000
4 Zn 0.2500 0.2500 0.2500

---

[7]
Entry from the Open Quantum Materials Database: a relaxed structure of Ba2NdOsN6 (PBE-GGA).

Values from the calculation:
Energy above the lowest structure with this stoichiometry ... 0.0022 eV/atom
Size of the total moment ... 3.0 μB/f.u.
Total DFT energy (no corrections) ... -6.92 eV/atom

abc: 6.1364 6.1364 6.1364
angles: 120.44 120.44 89.24
Site moments in Bohr magnetons follow the coordinates.
Atoms (fractional coordinates):
1 Ba 0.7500 0.2500 0.5000  0.01
2 Ba 0.2500 0.7500 0.5000  0.01
3 N 0.2758 0.2758 0.0000  0.39
4 N 0.7242 0.7242 0.0000  0.39
5 N 0.3115 0.7579 0.0694  0.39
6 N 0.7579 0.6885 0.4464  0.39
7 N 0.2421 0.3115 0.5536  0.39
8 N 0.6885 0.2421 0.9306  0.39
9 Nd 0.0000 0.0000 0.0000  -0.04
10 Os 0.5000 0.5000 0.0000  -0.29

---

[8]
Entry from the Open Quantum Materials Database: a relaxed structure of Zr4AlInN2 (PBE-GGA).

Values from the calculation:
Size of the total moment ... 0.0 μB/f.u.
Total DFT energy (no corrections) ... -8.24 eV/atom

abc: 3.2813 3.2813 14.6223
angles: 90.00 90.00 120.00
Atoms (fractional coordinates):
1 Al 0.0000 0.0000 0.0000
2 In 0.6667 0.3333 0.5000
3 N 0.3333 0.6667 0.2446
4 N 0.3333 0.6667 0.7554
5 Zr 0.6667 0.3333 0.1572
6 Zr 0.0000 0.0000 0.3305
7 Zr 0.0000 0.0000 0.6695
8 Zr 0.6667 0.3333 0.8428

---

[9]
Entry from the Open Quantum Materials Database: a relaxed structure of DyHo2In3Cu3 (PBE-GGA).

Values from the calculation:
Size of the total moment ... 0.0 μB/f.u.
Total DFT energy (no corrections) ... -4.10 eV/atom

abc: 3.8414 7.5363 7.5363
angles: 120.01 90.00 90.00
Atoms (fractional coordinates):
1 Cu 0.0000 0.0003 0.0003
2 Cu 0.5000 0.6670 0.3328
3 Cu 0.5000 0.3328 0.6670
4 Dy 0.0000 0.5920 0.5920
5 Ho 0.0000 0.4077 0.0000
6 Ho 0.0000 0.0000 0.4077
7 In 0.5000 0.7421 0.0004
8 In 0.5000 0.2578 0.2578
9 In 0.5000 0.0004 0.7421

---

[10]
Entry from the Open Quantum Materials Database: a relaxed structure of ZnCo2Pd (PBE-GGA).

Values from the calculation:
Energy relative to the elements ... 0.0025 eV/atom
Size of the total moment ... 3.3 μB/f.u.
Total DFT energy (no corrections) ... -5.16 eV/atom

abc: 4.1711 4.1711 4.1711
angles: 60.00 60.00 60.00
Site moments in Bohr magnetons follow the coordinates.
Atoms (fractional coordinates):
1 Co 0.2500 0.2500 0.2500  1.79
2 Co 0.5000 0.5000 0.5000  1.57
3 Pd 0.0000 0.0000 0.0000  0.10
4 Zn 0.7500 0.7500 0.7500  -0.04

---

[11]
Entry from the Open Quantum Materials Database: a relaxed structure of PtCl3 (PBE-GGA).

Values from the calculation:
Size of the total moment ... 0.0 μB/f.u.
Total DFT energy (no corrections) ... -3.28 eV/atom

abc: 12.6988 12.6988 12.6988
angles: 114.96 114.96 114.96
Atoms (fractional coordinates):
1 Cl 0.7045 0.2828 0.0379
2 Cl 0.3887 0.5433 0.0426
3 Cl 0.0964 0.8223 0.0788
4 Cl 0.8223 0.0788 0.0964
5 Cl 0.5406 0.3781 0.1531
6 Cl 0.2278 0.6417 0.1621
7 Cl 0.9212 0.9036 0.1777
8 Cl 0.3040 0.4020 0.2245
9 Cl 0.6417 0.1621 0.2278
10 Cl 0.0379 0.7045 0.2828
11 Cl 0.7172 0.9621 0.2955
12 Cl 0.4020 0.2245 0.3040
13 Cl 0.8379 0.7722 0.3583
14 Cl 0.1531 0.5406 0.3781
15 Cl 0.5433 0.0426 0.3887
16 Cl 0.2245 0.3040 0.4020
17 Cl 0.9574 0.6113 0.4567
18 Cl 0.6219 0.8469 0.4594
19 Cl 0.3781 0.1531 0.5406
20 Cl 0.0426 0.3887 0.5433
21 Cl 0.7755 0.6960 0.5980
22 Cl 0.4567 0.9574 0.6113
23 Cl 0.8469 0.4594 0.6219
24 Cl 0.1621 0.2278 0.6417
25 Cl 0.5980 0.7755 0.6960
26 Cl 0.2828 0.0379 0.7045
27 Cl 0.9621 0.2955 0.7172
28 Cl 0.3583 0.8379 0.7722
29 Cl 0.6960 0.5980 0.7755
30 Cl 0.0788 0.0964 0.8223
31 Cl 0.7722 0.3583 0.8379
32 Cl 0.4594 0.6219 0.8469
33 Cl 0.1777 0.9212 0.9036
34 Cl 0.9036 0.1777 0.9212
35 Cl 0.6113 0.4567 0.9574
36 Cl 0.2955 0.7172 0.9621
37 Pt 0.2475 0.1660 0.0657
38 Pt 0.0657 0.2475 0.1660
39 Pt 0.7788 0.5347 0.2085
40 Pt 0.4653 0.7915 0.2212
41 Pt 0.1660 0.0657 0.2475
42 Pt 0.7915 0.2212 0.4653
43 Pt 0.2085 0.7788 0.5347
44 Pt 0.8340 0.9343 0.7525
45 Pt 0.5347 0.2085 0.7788
46 Pt 0.2212 0.4653 0.7915
47 Pt 0.9343 0.7525 0.8340
48 Pt 0.7525 0.8340 0.9343

---

[12]
Entry from the Open Quantum Materials Database: a relaxed structure of ZnSnO3 (PBE-GGA).

Values from the calculation:
Total DFT energy (no corrections) ... -5.38 eV/atom

abc: 5.1311 5.1311 7.5071
angles: 90.00 90.00 145.66
Atoms (fractional coordinates):
1 O 0.3643 0.6357 0.0690
2 O 0.0994 0.9006 0.2500
3 O 0.3643 0.6357 0.4310
4 O 0.6357 0.3643 0.5690
5 O 0.9006 0.0994 0.7500
6 O 0.6357 0.3643 0.9310
7 Sn 0.0000 0.0000 0.0000
8 Sn 0.0000 0.0000 0.5000
9 Zn 0.7405 0.2595 0.2500
10 Zn 0.2595 0.7405 0.7500